Entry 1:
GGA-PBE Fe2PbW, relaxed; total energy = -7.843 eV per atom; Fermi-level density of states = 0.886 states/eV/atom; energy relative to the elements = 0.553 eV per atom; space group = No. 99
1.0
3.010 0.000 0.000
0.000 3.010 0.000
0.000 0.000 7.286
Fe Pb W
2 1 1
direct
0.000 0.000 0.000
0.500 0.500 0.181
0.000 0.000 0.476
0.500 0.500 0.800

Entry 2:
GGA-PBE LaZnCd11, relaxed; total energy = -1.389 eV per atom; Fermi-level density of states = 0.139 states/eV/atom; energy relative to the elements = -0.138 eV per atom; space group = No. 12
1.0
2.976 -7.027 0.000
2.976 7.027 0.000
-2.899 0.000 7.025
La Zn Cd
1 1 11
direct
0.000 0.000 0.000
0.500 0.500 0.500
0.000 0.000 0.500
0.000 0.500 0.000
0.009 0.357 0.355
0.294 0.506 0.781
0.357 0.009 0.355
0.494 0.706 0.219
0.500 0.000 0.000
0.506 0.294 0.781
0.643 0.991 0.645
0.706 0.494 0.219
0.991 0.643 0.645

Entry 3:
GGA-PBE PuVMo2, relaxed; total energy = -10.748 eV per atom; Fermi-level density of states = 2.198 states/eV/atom; energy relative to the elements = 0.530 eV per atom; space group = No. 166
1.0
1.468 0.847 9.335
-1.468 0.847 9.335
0.000 -1.695 9.335
Pu V Mo
1 1 2
direct
0.000 0.000 0.000
0.500 0.500 0.500
0.096 0.096 0.096
0.904 0.904 0.904

Entry 4:
GGA-PBE Pm2Ru, relaxed; total energy = -6.414 eV per atom; Fermi-level density of states = 0.658 states/eV/atom; energy relative to the elements = -0.155 eV per atom; space group = No. 36
1.0
1.969 -8.604 0.000
1.969 8.604 0.000
0.000 0.000 9.386
Pm Ru
8 4
direct
0.034 0.966 0.500
0.150 0.850 0.854
0.299 0.701 0.077
0.378 0.622 0.701
0.622 0.378 0.201
0.701 0.299 0.577
0.850 0.150 0.354
0.966 0.034 0.000
0.205 0.795 0.360
0.455 0.545 0.242
0.545 0.455 0.742
0.795 0.205 0.860

Entry 5:
GGA-PBE HgGeMo, relaxed; total energy = -5.163 eV per atom; Fermi-level density of states = 0.416 states/eV/atom; energy relative to the elements = 0.087 eV per atom; space group = No. 129
1.0
3.206 0.000 0.000
0.000 3.206 0.000
0.000 0.000 12.183
Hg Ge Mo
2 2 2
direct
0.250 0.250 0.113
0.750 0.750 0.887
0.250 0.250 0.680
0.750 0.750 0.320
0.250 0.250 0.440
0.750 0.750 0.560

Entry 6:
GGA-PBE Li12Mg3Pt, relaxed; total energy = -2.239 eV per atom; Fermi-level density of states = 0.458 states/eV/atom; energy relative to the elements = -0.127 eV per atom; space group = No. 123
1.0
4.833 0.000 0.000
0.000 4.833 0.000
0.000 0.000 12.546
Li Mg Pt
12 3 1
direct
0.000 0.000 0.000
0.000 0.000 0.242
0.000 0.000 0.500
0.000 0.000 0.758
0.000 0.500 0.103
0.000 0.500 0.368
0.000 0.500 0.632
0.000 0.500 0.897
0.500 0.000 0.103
0.500 0.000 0.368
0.500 0.000 0.632
0.500 0.000 0.897
0.500 0.500 0.224
0.500 0.500 0.500
0.500 0.500 0.776
0.500 0.500 0.000